Below is FeCo2 at its PBEsol-relaxed geometry, with properties calculated at the SCAN level.

Cell lengths 2.420, 3.978, 6.671 Å; angles 90.00, 92.69, 90.00 degrees
Space group P2_1/m (No. 11)
Symmetry-distinct sites (fractional):
1 Fe 0.189 0.250 0.081 x2
2 Co 0.067 0.750 0.585 x2
3 Co 0.498 0.250 0.740 x2

* density: 8.99 g cm⁻³
* formation enthalpy at 0 K: -0.032 eV/atom
* energy: -17.6111 eV per atom



Below is Ba2CaAg at its PBEsol-relaxed geometry, with properties calculated at the SCAN level.

Cell lengths 5.866, 5.866, 4.564 Å; angles 90.00, 90.00, 90.00 degrees
Space group P4/mmm (No. 123)
Symmetry-distinct sites (fractional):
1 Ba 0.000 0.500 0.000 x2
2 Ca 0.000 0.000 0.500 x1
3 Ag 0.500 0.500 0.500 x1

* density: 4.47 g cm⁻³
* relative energy among the computed polymorphs: 0.1798 eV per atom
* formation enthalpy at 0 K: 0.068 eV/atom
* energy: -29.9644 eV per atom



Below is LaPtSe at its PBEsol-relaxed geometry, with properties calculated at the SCAN level.

Cell lengths 4.3788, 4.3788, 3.9345 Å; angles 90.00, 90.00, 120.00 degrees
Space group P-6m2 (No. 187)
Symmetry-distinct sites (fractional):
1 La 0.0000 0.0000 0.0000 x1
2 Pt 0.3333 0.6667 0.5000 x1
3 Se 0.6667 0.3333 0.5000 x1

* density: 10.50 g cm⁻³
* relative energy among the computed polymorphs: 0.0000 eV per atom
* energy: -45.8906 eV per atom



Below is In2Hg at its PBEsol-relaxed geometry, with properties calculated at the SCAN level.

Cell lengths 3.448, 3.826, 11.172 Å; angles 90.00, 90.00, 90.00 degrees
Space group Immm (No. 71)
Symmetry-distinct sites (fractional):
1 In 0.000 0.000 0.161 x4
2 Hg 0.000 0.000 0.500 x2

* density: 9.69 g cm⁻³
* relative energy among the computed polymorphs: 0.0569 eV per atom
* formation enthalpy at 0 K: 0.054 eV/atom
* energy: -44.9256 eV per atom



Below is WN2O2 at its PBEsol-relaxed geometry, with properties calculated at the SCAN level.

Cell lengths 3.802, 3.802, 4.032 Å; angles 90.00, 90.00, 90.00 degrees
Space group P4/mmm (No. 123)
Symmetry-distinct sites (fractional):
1 W 0.000 0.000 0.000 x1
2 N 0.000 0.000 0.500 x1
3 N 0.500 0.500 0.500 x1
4 O 0.000 0.500 0.000 x2

* density: 6.95 g cm⁻³
* relative energy among the computed polymorphs: 0.0000 eV per atom
* energy: -20.0577 eV per atom



Below is InIrW2 at its PBEsol-relaxed geometry, with properties calculated at the SCAN level.

Cell lengths 5.369, 8.576, 2.787 Å; angles 90.00, 90.00, 90.00 degrees
Space group Cmmm (No. 65)
Symmetry-distinct sites (fractional):
1 In 0.000 0.000 0.000 x2
2 Ir 0.000 0.500 0.000 x2
3 W 0.250 0.250 0.500 x4

* density: 17.46 g cm⁻³
* formation enthalpy at 0 K: 0.362 eV/atom
* energy: -60.6029 eV per atom



Below is Hg2IrPb at its PBEsol-relaxed geometry, with properties calculated at the SCAN level.

Cell lengths 4.217, 4.217, 8.986 Å; angles 90.00, 90.00, 90.00 degrees
Space group I4/mmm (No. 139)
Symmetry-distinct sites (fractional):
1 Hg 0.000 0.500 0.250 x4
2 Ir 0.000 0.000 0.000 x2
3 Pb 0.000 0.000 0.500 x2

* density: 16.64 g cm⁻³
* formation enthalpy at 0 K: 0.559 eV/atom
* energy: -70.2443 eV per atom



Below is Sc2BeCrSn at its PBEsol-relaxed geometry, with properties calculated at the SCAN level.

Cell lengths 5.328, 5.328, 4.363 Å; angles 90.00, 90.00, 90.00 degrees
Space group P4/mmm (No. 123)
Symmetry-distinct sites (fractional):
1 Sc 0.000 0.500 0.000 x2
2 Be 0.000 0.000 0.500 x1
3 Cr 0.500 0.500 0.500 x1
4 Sn 0.000 0.000 0.000 x1

* density: 3.62 g cm⁻³
* formation enthalpy at 0 K: 0.658 eV/atom
* energy: -16.7690 eV per atom



Below is HIrSe2 at its PBEsol-relaxed geometry, with properties calculated at the SCAN level.

Cell lengths 3.7946, 3.7946, 17.6548 Å; angles 90.00, 90.00, 120.00 degrees
Space group R-3m (No. 166, hexagonal axes)
Symmetry-distinct sites (fractional):
1 H 0.0000 0.0000 0.0000 x3
2 Ir 0.0000 0.0000 0.5000 x3
3 Se 0.0000 0.0000 0.1003 x6

* density: 7.95 g cm⁻³
* relative energy among the computed polymorphs: 0.0000 eV per atom
* energy: -28.8547 eV per atom



Below is Be2ReIr at its PBEsol-relaxed geometry, with properties calculated at the SCAN level.

Cell lengths 2.768, 3.811, 4.499 Å; angles 90.00, 90.00, 90.00 degrees
Space group Pmmm (No. 47)
Symmetry-distinct sites (fractional):
1 Be 0.000 0.000 0.000 x1
2 Be 0.500 0.000 0.500 x1
3 Re 0.000 0.500 0.500 x1
4 Ir 0.500 0.500 0.000 x1

* density: 13.87 g cm⁻³
* relative energy among the computed polymorphs: 0.2317 eV per atom
* formation enthalpy at 0 K: -0.126 eV/atom
* energy: -37.8515 eV per atom



Below is CdInHg2 at its PBEsol-relaxed geometry, with properties calculated at the SCAN level.

Cell lengths 8.069, 8.069, 6.031 Å; angles 90.00, 90.00, 90.00 degrees
Space group I-42d (No. 122)
Symmetry-distinct sites (fractional):
1 Cd 0.000 0.000 0.000 x4
2 In 0.000 0.000 0.500 x4
3 Hg 0.245 0.250 0.125 x8

* density: 10.63 g cm⁻³
* formation enthalpy at 0 K: 0.022 eV/atom
* energy: -50.0107 eV per atom



Below is V3NiP4O16 at its PBEsol-relaxed geometry, with properties calculated at the SCAN level.

Cell lengths 4.739, 5.682, 9.830 Å; angles 90.00, 90.12, 90.00 degrees
Space group Pm (No. 6)
Symmetry-distinct sites (fractional):
1 V 0.000 0.000 0.000 x1
2 V 0.076 0.500 0.544 x1
3 V 0.581 0.000 0.503 x1
4 Ni 0.500 0.500 0.046 x1
5 P 0.144 0.000 0.682 x1
6 P 0.437 0.000 0.178 x1
7 P 0.640 0.500 0.364 x1
8 P 0.971 0.500 0.866 x1
9 O 0.221 0.000 0.831 x1
10 O 0.280 0.207 0.104 x2
11 O 0.288 0.500 0.879 x1
12 O 0.292 0.209 0.602 x2
13 O 0.324 0.500 0.392 x1
14 O 0.385 0.000 0.331 x1
15 O 0.714 0.500 0.216 x1
16 O 0.754 0.000 0.153 x1
17 O 0.790 0.291 0.446 x2
18 O 0.824 0.286 0.942 x2
19 O 0.828 0.000 0.658 x1
20 O 0.885 0.500 0.716 x1

* density: 3.71 g cm⁻³
* energy: -11.1801 eV per atom



Below is FePt2Au at its PBEsol-relaxed geometry, with properties calculated at the SCAN level.

Cell lengths 2.765, 3.740, 5.712 Å; angles 90.00, 90.00, 90.00 degrees
Space group Pmmm (No. 47)
Symmetry-distinct sites (fractional):
1 Fe 0.000 0.000 0.000 x1
2 Pt 0.500 0.500 0.233 x2
3 Au 0.000 0.000 0.500 x1

* density: 18.07 g cm⁻³
* relative energy among the computed polymorphs: 0.0295 eV per atom
* formation enthalpy at 0 K: -0.204 eV/atom
* energy: -57.1226 eV per atom



Below is Co2HgOs at its PBEsol-relaxed geometry, with properties calculated at the SCAN level.

Cell lengths 2.703, 4.433, 9.040 Å; angles 90.00, 90.00, 90.00 degrees
Space group Imm2 (No. 44)
Symmetry-distinct sites (fractional):
1 Co 0.000 0.000 0.000 x2
2 Co 0.000 0.500 0.281 x2
3 Hg 0.000 0.000 0.515 x2
4 Os 0.000 0.500 0.733 x2

* density: 15.60 g cm⁻³
* formation enthalpy at 0 K: 0.573 eV/atom
* energy: -43.0908 eV per atom



Below is LaScTl at its PBEsol-relaxed geometry, with properties calculated at the SCAN level.

Cell lengths 5.0364, 5.0364, 3.8423 Å; angles 90.00, 90.00, 120.00 degrees
Space group P-6m2 (No. 187)
Symmetry-distinct sites (fractional):
1 La 0.0000 0.0000 0.0000 x1
2 Sc 0.3333 0.6667 0.5000 x1
3 Tl 0.6667 0.3333 0.5000 x1

* density: 7.64 g cm⁻³
* relative energy among the computed polymorphs: 0.0000 eV per atom
* formation enthalpy at 0 K: -0.395 eV/atom
* energy: -43.6280 eV per atom



Below is ZnOs2Pt at its PBEsol-relaxed geometry, with properties calculated at the SCAN level.

Cell lengths 2.714, 4.530, 4.675 Å; angles 90.00, 90.00, 90.00 degrees
Space group Pmmm (No. 47)
Symmetry-distinct sites (fractional):
1 Zn 0.000 0.000 0.000 x1
2 Os 0.000 0.500 0.500 x1
3 Os 0.500 0.000 0.500 x1
4 Pt 0.500 0.500 0.000 x1

* density: 18.52 g cm⁻³
* formation enthalpy at 0 K: 0.324 eV/atom
* energy: -56.5427 eV per atom



Below is CdSbAs2 at its PBEsol-relaxed geometry, with properties calculated at the SCAN level.

Cell lengths 6.982, 6.982, 6.982 Å; angles 90.00, 90.00, 90.00 degrees
Space group F-43m (No. 216)
Symmetry-distinct sites (fractional):
1 Cd 0.000 0.000 0.000 x4
2 Sb 0.250 0.250 0.250 x4
3 As 0.000 0.000 0.500 x4
4 As 0.250 0.250 0.750 x4

* density: 7.49 g cm⁻³
* energy: -26.6366 eV per atom



Below is Sr2Pt at its PBEsol-relaxed geometry, with properties calculated at the SCAN level.

Cell lengths 4.022, 13.524, 7.137 Å; angles 90.00, 90.00, 90.00 degrees
Space group Cmc2_1 (No. 36)
Symmetry-distinct sites (fractional):
1 Sr 0.000 0.009 0.000 x4
2 Sr 0.000 0.272 0.827 x4
3 Pt 0.000 0.384 0.223 x4

* density: 6.34 g cm⁻³
* formation enthalpy at 0 K: -0.720 eV/atom
* energy: -38.9677 eV per atom



Below is Tl at its PBEsol-relaxed geometry, with properties calculated at the SCAN level.

Cell lengths 11.831, 11.831, 11.831 Å; angles 90.00, 90.00, 90.00 degrees
Space group I-43m (No. 217)
Symmetry-distinct sites (fractional):
1 Tl 0.000 0.000 0.000 x2
2 Tl 0.044 0.361 0.639 x24
3 Tl 0.093 0.093 0.717 x24
4 Tl 0.180 0.180 0.180 x8

* density: 11.89 g cm⁻³
* relative energy among the computed polymorphs: 0.0124 eV per atom
* formation enthalpy at 0 K: 0.012 eV/atom
* energy: -72.3459 eV per atom



Below is Tb3Er at its PBEsol-relaxed geometry, with properties calculated at the SCAN level.

Cell lengths 4.900, 4.900, 9.800 Å; angles 90.00, 90.00, 90.00 degrees
Space group I4/mmm (No. 139)
Symmetry-distinct sites (fractional):
1 Tb 0.000 0.000 0.000 x2
2 Tb 0.000 0.500 0.250 x4
3 Er 0.000 0.000 0.500 x2

* density: 9.09 g cm⁻³
* formation enthalpy at 0 K: 0.018 eV/atom
* energy: -47.6387 eV per atom



Below is Cs3P7 at its PBEsol-relaxed geometry, with properties calculated at the SCAN level.

Cell lengths 8.997, 8.997, 16.504 Å; angles 90.00, 90.00, 90.00 degrees
Space group P4_1 (No. 76)
Symmetry-distinct sites (fractional):
1 Cs 0.019 0.830 0.000 x4
2 Cs 0.256 0.624 0.502 x4
3 Cs 0.265 0.414 0.091 x4
4 P 0.004 0.655 0.205 x4
5 P 0.006 0.289 0.841 x4
6 P 0.025 0.649 0.811 x4
7 P 0.095 0.559 0.694 x4
8 P 0.108 0.480 0.894 x4
9 P 0.210 0.624 0.284 x4
10 P 0.214 0.394 0.314 x4

* density: 3.06 g cm⁻³
* formation enthalpy at 0 K: -0.532 eV/atom
* energy: -19.1543 eV per atom



Below is NdNi2Bi2 at its PBEsol-relaxed geometry, with properties calculated at the SCAN level.

Cell lengths 4.585, 4.585, 10.007 Å; angles 90.00, 90.00, 90.00 degrees
Space group P4/nmm (No. 129, origin choice 2)
Symmetry-distinct sites (fractional):
1 Nd 0.250 0.250 0.232 x2
2 Ni 0.250 0.250 0.625 x2
3 Ni 0.250 0.750 0.000 x2
4 Bi 0.250 0.250 0.876 x2
5 Bi 0.250 0.750 0.500 x2

* density: 10.73 g cm⁻³
* formation enthalpy at 0 K: -0.374 eV/atom
* energy: -46.9916 eV per atom



Below is RuRh2Cl at its PBEsol-relaxed geometry, with properties calculated at the SCAN level.

Cell lengths 2.776, 2.776, 7.229 Å; angles 90.00, 90.00, 90.00 degrees
Space group P4mm (No. 99)
Symmetry-distinct sites (fractional):
1 Ru 0.000 0.000 0.000 x1
2 Rh 0.000 0.000 0.508 x1
3 Rh 0.500 0.500 0.762 x1
4 Cl 0.500 0.500 0.241 x1

* density: 10.21 g cm⁻³
* relative energy among the computed polymorphs: 0.1351 eV per atom
* energy: -27.1289 eV per atom



Below is ScHgPb2 at its PBEsol-relaxed geometry, with properties calculated at the SCAN level.

Cell lengths 3.491, 4.292, 6.573 Å; angles 90.00, 90.00, 90.00 degrees
Space group Pmm2 (No. 25)
Symmetry-distinct sites (fractional):
1 Sc 0.000 0.000 0.000 x1
2 Hg 0.500 0.500 0.237 x1
3 Pb 0.000 0.000 0.482 x1
4 Pb 0.500 0.500 0.773 x1

* density: 11.13 g cm⁻³
* formation enthalpy at 0 K: -0.226 eV/atom
* energy: -58.7170 eV per atom



Below is AgN2O2 at its PBEsol-relaxed geometry, with properties calculated at the SCAN level.

Cell lengths 3.546, 3.546, 3.781 Å; angles 90.00, 90.00, 90.00 degrees
Space group P4/mmm (No. 123)
Symmetry-distinct sites (fractional):
1 Ag 0.000 0.000 0.000 x1
2 N 0.000 0.500 0.500 x2
3 O 0.500 0.500 0.000 x1
4 O 0.500 0.500 0.500 x1

* density: 5.86 g cm⁻³
* energy: -10.2858 eV per atom